DFT (PBE) results for an optimized crystal structure of ZrCdBr2.

space-group type: I4/mmm (139)
total energy: -3.3610 eV per atom
density: 6.5 g/cm³
ΔE_f (raw): -159 meV/atom
excess energy over the best structure of this formula in the dataset: 0.620 eV per atom

a b c (Å): 5.419 5.419 5.419
angles (deg): 129.45 129.45 74.29
Atoms (fractional coordinates):
Br: 0.000 0.000 0.000
Br: 0.500 0.500 0.000
Zr: 0.750 0.250 0.500
Cd: 0.250 0.750 0.500


DFT (PBE) results for an optimized crystal structure of ZrCdBr3.

space-group type: Pm-3m (221)
total energy: -2.7968 eV per atom
density: 4.5 g/cm³
ΔE_f (raw): 100 meV/atom
excess energy over the best structure of this formula in the dataset: 0.841 eV per atom

a b c (Å): 5.456 5.456 5.456
angles (deg): 90.00 90.00 90.00
Atoms (fractional coordinates):
Br: 0.500 0.000 0.000
Br: 0.000 0.500 0.000
Br: 0.000 0.000 0.500
Zr: 0.500 0.500 0.500
Cd: 0.000 0.000 0.000


DFT (PBE) results for an optimized crystal structure of ZrCdBr.

space-group type: F-43m (216)
total energy: -3.4060 eV per atom
density: 5.9 g/cm³
ΔE_f (raw): 306 meV/atom
excess energy over the best structure of this formula in the dataset: 0.799 eV per atom

a b c (Å): 4.825 4.825 4.825
angles (deg): 60.00 60.00 60.00
Atoms (fractional coordinates):
Zr: 0.750 0.750 0.750
Br: 0.000 0.000 0.000
Cd: 0.500 0.500 0.500


DFT (PBE) results for an optimized crystal structure of ZrCdBr2.

space-group type: Immm (71)
total energy: -3.8724 eV per atom
density: 4.7 g/cm³
ΔE_f (raw): -670 meV/atom
excess energy over the best structure of this formula in the dataset: 0.108 eV per atom

a b c (Å): 7.862 7.862 5.410
angles (deg): 69.86 69.86 24.31
Atoms (fractional coordinates):
Br: 0.598 0.598 0.403
Br: 0.902 0.902 0.097
Zr: 0.250 0.250 0.250
Cd: 0.750 0.750 0.750


DFT (PBE) results for an optimized crystal structure of ZrCd2Br.

space-group type: I-42d (122)
total energy: -2.8833 eV per atom
density: 6.4 g/cm³
ΔE_f (raw): 130 meV/atom
excess energy over the best structure of this formula in the dataset: 0.462 eV per atom

a b c (Å): 8.526 8.526 6.652
angles (deg): 50.14 50.14 90.00
Atoms (fractional coordinates):
Cd: 0.875 0.889 0.750
Cd: 0.375 0.361 0.750
Cd: 0.111 0.625 0.250
Cd: 0.639 0.125 0.250
Zr: 0.750 0.250 0.500
Zr: 0.000 0.000 0.000
Br: 0.250 0.750 0.500
Br: 0.500 0.500 0.000


DFT (PBE) results for an optimized crystal structure of ZrCd2Br.

space-group type: Fm-3m (225)
total energy: -2.5834 eV per atom
density: 6.4 g/cm³
ΔE_f (raw): 429 meV/atom
excess energy over the best structure of this formula in the dataset: 0.762 eV per atom

a b c (Å): 5.244 5.244 5.244
angles (deg): 60.00 60.00 60.00
Atoms (fractional coordinates):
Cd: 0.750 0.750 0.750
Cd: 0.250 0.250 0.250
Br: 0.000 0.000 0.000
Zr: 0.500 0.500 0.500


DFT (PBE) results for an optimized crystal structure of ZrCd2Br.

space-group type: R3m (160)
total energy: -3.3457 eV per atom
density: 6.6 g/cm³
ΔE_f (raw): -333 meV/atom
excess energy over the best structure of this formula in the dataset: 0.000 eV per atom

a b c (Å): 10.104 10.104 10.104
angles (deg): 19.46 19.46 19.46
Atoms (fractional coordinates):
Br: 0.767 0.767 0.767
Cd: 0.990 0.990 0.990
Cd: 0.245 0.245 0.245
Zr: 0.498 0.498 0.498


DFT (PBE) results for an optimized crystal structure of ZrCd2Br.

space-group type: F-43m (216)
total energy: -2.8860 eV per atom
density: 7.3 g/cm³
ΔE_f (raw): 127 meV/atom
excess energy over the best structure of this formula in the dataset: 0.460 eV per atom

a b c (Å): 5.035 5.035 5.035
angles (deg): 60.00 60.00 60.00
Atoms (fractional coordinates):
Zr: 0.750 0.750 0.750
Cd: 0.250 0.250 0.250
Cd: 0.000 0.000 0.000
Br: 0.500 0.500 0.500


DFT (PBE) results for an optimized crystal structure of Zr2CdBr2.

space-group type: I4/mmm (139)
total energy: -4.5813 eV per atom
density: 4.6 g/cm³
ΔE_f (raw): -310 meV/atom
excess energy over the best structure of this formula in the dataset: 0.000 eV per atom

a b c (Å): 4.089 4.089 10.311
angles (deg): 78.56 78.56 90.00
Atoms (fractional coordinates):
Br: 0.649 0.649 0.702
Br: 0.351 0.351 0.298
Zr: 0.750 0.250 0.500
Zr: 0.250 0.750 0.500
Cd: 0.000 0.000 0.000


DFT (PBE) results for an optimized crystal structure of ZrCdBr.

space-group type: Fmm2 (42)
total energy: -4.0916 eV per atom
density: 5.9 g/cm³
ΔE_f (raw): -380 meV/atom
excess energy over the best structure of this formula in the dataset: 0.114 eV per atom

a b c (Å): 7.823 7.821 3.273
angles (deg): 77.95 77.89 24.15
Atoms (fractional coordinates):
Br: 0.956 0.956 0.044
Zr: 0.341 0.341 0.659
Cd: 0.703 0.703 0.297


DFT (PBE) results for an optimized crystal structure of ZrCd2Br.

space-group type: I4/mmm (139)
total energy: -2.9768 eV per atom
density: 7.3 g/cm³
ΔE_f (raw): 36 meV/atom
excess energy over the best structure of this formula in the dataset: 0.369 eV per atom

a b c (Å): 6.191 6.191 6.191
angles (deg): 141.72 141.72 55.26
Atoms (fractional coordinates):
Br: 0.750 0.250 0.500
Cd: 0.500 0.500 0.000
Cd: 0.000 0.000 0.000
Zr: 0.250 0.750 0.500


DFT (PBE) results for an optimized crystal structure of ZrCd2Br8.

space-group type: C2/m (12)
total energy: -3.1681 eV per atom
density: 3.6 g/cm³
ΔE_f (raw): -1008 meV/atom

a b c (Å): 7.563 9.429 6.700
angles (deg): 94.63 90.00 113.64
Atoms (fractional coordinates):
Br: 0.303 0.113 0.254
Br: 0.137 0.274 0.840
Br: 0.295 0.589 0.364
Br: 0.863 0.726 0.160
Br: 0.190 0.887 0.746
Br: 0.697 0.887 0.746
Br: 0.705 0.411 0.636
Br: 0.810 0.113 0.254
Cd: 0.844 0.688 0.554
Cd: 0.156 0.312 0.446
Zr: 0.000 0.000 0.000


DFT (PBE) results for an optimized crystal structure of ZrCdBr3.

space-group type: Pm-3m (221)
total energy: -3.6383 eV per atom
density: 4.7 g/cm³
ΔE_f (raw): -742 meV/atom
excess energy over the best structure of this formula in the dataset: 0.000 eV per atom

a b c (Å): 5.393 5.393 5.393
angles (deg): 90.00 90.00 90.00
Atoms (fractional coordinates):
Cd: 0.500 0.500 0.500
Br: 0.500 0.000 0.000
Br: 0.000 0.000 0.500
Br: 0.000 0.500 0.000
Zr: 0.000 0.000 0.000


DFT (PBE) results for an optimized crystal structure of Zr2CdBr2.

space-group type: P4/mbm (127)
total energy: -4.3370 eV per atom
density: 6.9 g/cm³
ΔE_f (raw): -66 meV/atom
excess energy over the best structure of this formula in the dataset: 0.244 eV per atom

a b c (Å): 8.348 8.348 3.144
angles (deg): 90.00 90.00 90.00
Atoms (fractional coordinates):
Br: 0.872 0.628 0.000
Br: 0.372 0.872 0.000
Br: 0.128 0.372 0.000
Br: 0.628 0.128 0.000
Zr: 0.329 0.171 0.500
Zr: 0.171 0.671 0.500
Zr: 0.829 0.329 0.500
Zr: 0.671 0.829 0.500
Cd: 0.500 0.500 0.000
Cd: 0.000 0.000 0.000


DFT (PBE) results for an optimized crystal structure of ZrCdBr2.

space-group type: Fm-3m (225)
total energy: -3.3502 eV per atom
density: 6.3 g/cm³
ΔE_f (raw): -148 meV/atom
excess energy over the best structure of this formula in the dataset: 0.630 eV per atom

a b c (Å): 5.149 5.149 5.149
angles (deg): 60.00 60.00 60.00
Atoms (fractional coordinates):
Br: 0.750 0.750 0.750
Br: 0.250 0.250 0.250
Zr: 0.000 0.000 0.000
Cd: 0.500 0.500 0.500